Arrangement P

DFT (PBE-GGA) results for Ce2Sb3 after structural relaxation.

Summary:
volume = 144 Å³ per cell
symmetry = I4/mmm

a b c (Å): 4.185 4.185 8.742
angles (deg): 103.85 103.85 90.00
Last column: magnetic moment on the atom in μB.
Positions (direct):
Sb 0.184 0.184 0.368  -0.02
Sb 0.000 0.000 0.000  -0.02
Ce 0.610 0.610 0.220  0.51
Ce 0.390 0.390 0.780  0.51
Sb 0.816 0.816 0.632  -0.02


Arrangement Q

DFT (PBE-GGA) results for Ce2Sb3 after structural relaxation.

Summary:
volume = 159 Å³ per cell
symmetry = P-3m1

a b c (Å): 4.569 4.569 8.786
angles (deg): 90.00 90.00 120.00
Last column: magnetic moment on the atom in μB.
Positions (direct):
Sb 0.333 0.667 0.410  0.04
Sb 0.667 0.333 0.590  0.04
Ce 0.333 0.667 0.796  0.73
Sb 0.000 0.000 0.000  -0.02
Ce 0.667 0.333 0.204  0.73


The structure with the least stability is arrangement Q.


Arrangement P

DFT (PBE-GGA) results for CeScSb after structural relaxation.

Summary:
volume = 80 Å³ per cell
symmetry = I4mm

a b c (Å): 3.866 3.866 6.026
angles (deg): 108.71 108.71 90.00
Last column: magnetic moment on the atom in μB.
Positions (direct):
Ce 0.624 0.624 0.248  0.89
Sb 0.304 0.304 0.608  -0.01
Sc 0.922 0.922 0.844  0.25


Arrangement Q

DFT (PBE-GGA) results for CeScSb after structural relaxation.

Summary:
volume = 163 Å³ per cell
symmetry = P4/nmm

a b c (Å): 4.396 4.395 8.450
angles (deg): 90.00 90.03 90.00
Last column: magnetic moment on the atom in μB.
Positions (direct):
Ce 0.249 0.750 0.145  0.92
Sc 0.250 0.250 0.500  0.14
Sc 0.750 0.750 0.500  0.14
Ce 0.751 0.250 0.855  0.92
Sb 0.250 0.750 0.752  -0.02
Sb 0.750 0.250 0.248  -0.02


The structure with the least stability is arrangement P.


Arrangement P

DFT (PBE-GGA) results for CeScSb after structural relaxation.

Summary:
volume = 83 Å³ per cell
symmetry = P-6m2

a b c (Å): 3.947 4.923 4.923
angles (deg): 120.00 90.00 90.00
Last column: magnetic moment on the atom in μB.
Positions (direct):
Ce 0.000 0.000 0.000  1.04
Sb 0.499 0.333 0.667  -0.03
Sc 0.501 0.667 0.333  0.38


Arrangement Q

DFT (PBE-GGA) results for CeScSb after structural relaxation.

Summary:
volume = 163 Å³ per cell
symmetry = R-3m

a b c (Å): 4.756 4.756 8.750
angles (deg): 74.23 74.23 60.00
Last column: magnetic moment on the atom in μB.
Positions (direct):
Sc 0.289 0.289 0.133  -0.05
Ce 0.142 0.142 0.574  0.89
Sb 0.408 0.408 0.776  0.00
Ce 0.858 0.858 0.426  0.89
Sb 0.592 0.592 0.224  0.00
Sc 0.711 0.711 0.867  -0.05


Arrangement R

DFT (PBE-GGA) results for CeScSb after structural relaxation.

Summary:
volume = 165 Å³ per cell
symmetry = I4/mmm

a b c (Å): 4.473 4.473 8.835
angles (deg): 104.66 104.66 90.00
Last column: magnetic moment on the atom in μB.
Positions (direct):
Sc 0.000 0.500 0.000  0.54
Sc 0.500 0.000 0.000  0.54
Sb 0.627 0.627 0.255  -0.04
Sb 0.373 0.373 0.745  -0.04
Ce 0.826 0.826 0.652  1.09
Ce 0.174 0.174 0.348  1.09


The structure with the least stability is arrangement Q.


Arrangement P

DFT (PBE-GGA) results for Ce2ScSb3 after structural relaxation.

Summary:
volume = 180 Å³ per cell
symmetry = Immm

a b c (Å): 4.387 6.252 7.590
angles (deg): 114.32 106.80 90.00
Last column: magnetic moment on the atom in μB.
Positions (direct):
Sb 0.345 0.345 0.690  -0.02
Ce 0.330 0.830 0.659  0.72
Sb 0.000 0.000 0.000  -0.02
Sc 0.000 0.500 0.000  0.01
Sb 0.655 0.655 0.310  -0.02
Ce 0.670 0.170 0.341  0.72


Arrangement Q

DFT (PBE-GGA) results for Ce2ScSb3 after structural relaxation.

Summary:
volume = 359 Å³ per cell
symmetry = C2/m

a b c (Å): 7.607 7.607 7.605
angles (deg): 99.65 99.65 120.05
Last column: magnetic moment on the atom in μB.
Positions (direct):
Sb 0.757 0.746 0.238  -0.02
Ce 0.495 0.505 0.500  0.75
Sb 0.413 0.091 0.238  -0.02
Sb 0.602 0.935 0.769  -0.02
Sc 0.002 0.998 0.000  0.00
Ce 0.172 0.828 0.500  0.75
Sc 0.665 0.335 0.000  0.00
Sb 0.065 0.398 0.231  -0.02
Sb 0.254 0.243 0.762  -0.02
Sb 0.909 0.587 0.762  -0.02
Ce 0.333 0.667 0.000  0.67
Ce 0.833 0.167 0.500  0.75


The structure with the least stability is arrangement P.


Arrangement P

DFT (PBE-GGA) results for Ce3SbSe6 after structural relaxation.

Summary:
volume = 618 Å³ per cell
symmetry = P2_1/m

a b c (Å): 4.446 12.230 11.925
angles (deg): 107.56 90.00 90.00
Last column: magnetic moment on the atom in μB.
Positions (direct):
Sb 0.750 0.652 0.966  -0.01
Se 0.250 0.387 0.518  -0.03
Se 0.750 0.080 0.914  -0.03
Ce 0.750 0.832 0.431  0.74
Ce 0.250 0.922 0.845  0.73
Se 0.750 0.747 0.791  -0.02
Se 0.250 0.728 0.282  -0.03
Se 0.250 0.253 0.209  -0.02
Se 0.750 0.613 0.482  -0.03
Se 0.750 0.472 0.124  -0.01
Sb 0.250 0.348 0.034  -0.01
Ce 0.750 0.078 0.155  0.73
Ce 0.250 0.508 0.329  0.76
Se 0.750 0.272 0.718  -0.03
Se 0.250 0.920 0.086  -0.03
Se 0.250 0.935 0.600  -0.03
Se 0.250 0.528 0.876  -0.01
Ce 0.750 0.492 0.671  0.76
Se 0.750 0.065 0.400  -0.03
Ce 0.250 0.168 0.569  0.74


Arrangement Q

DFT (PBE-GGA) results for Ce3SbSe6 after structural relaxation.

Summary:
volume = 582 Å³ per cell
symmetry = Cmc2_1

a b c (Å): 7.226 9.086 9.086
angles (deg): 102.81 90.00 90.00
Last column: magnetic moment on the atom in μB.
Positions (direct):
Se 0.700 0.568 0.096  0.00
Se 0.183 0.694 0.632  -0.03
Ce 0.986 0.083 0.284  0.89
Sb 0.495 0.829 0.171  0.07
Ce 0.486 0.917 0.716  0.89
Se 0.200 0.432 0.904  0.00
Se 0.200 0.096 0.568  0.00
Ce 0.986 0.716 0.917  0.89
Ce 0.486 0.284 0.083  0.89
Se 0.183 0.368 0.306  -0.03
Sb 0.995 0.171 0.829  0.07
Se 0.129 0.767 0.233  -0.02
Se 0.683 0.306 0.368  -0.03
Se 0.629 0.233 0.767  -0.02
Ce 0.383 0.402 0.598  0.81
Se 0.683 0.632 0.694  -0.03
Ce 0.883 0.598 0.402  0.81
Se 0.742 0.993 0.007  -0.02
Se 0.242 0.007 0.993  -0.02
Se 0.700 0.904 0.432  0.00


The structure with the least stability is arrangement P.


Arrangement P

DFT (PBE-GGA) results for CeSmSb2 after structural relaxation.

Summary:
volume = 130 Å³ per cell
symmetry = R3m

a b c (Å): 4.445 4.445 8.045
angles (deg): 73.96 73.96 60.00
Last column: magnetic moment on the atom in μB.
Positions (direct):
Ce 0.669 0.669 0.992  0.75
Sb 0.082 0.082 0.753  -0.02
Sb 0.251 0.251 0.247  -0.02
Sm 0.497 0.497 0.508  0.03


Arrangement Q

DFT (PBE-GGA) results for CeSmSb2 after structural relaxation.

Summary:
volume = 255 Å³ per cell
symmetry = I4_1/amd

a b c (Å): 6.344 6.344 7.768
angles (deg): 114.10 114.10 90.00
Last column: magnetic moment on the atom in μB.
Positions (direct):
Sb 0.000 0.500 0.001  -0.02
Ce 0.500 0.500 0.000  0.75
Sb 0.750 0.750 0.499  -0.02
Sm 0.000 0.000 0.000  0.01
Sm 0.750 0.250 0.500  0.01
Sb 0.250 0.250 0.501  -0.02
Ce 0.250 0.750 0.500  0.75
Sb 0.500 0.000 0.999  -0.02


The structure with the least stability is arrangement P.